(1)
PBE K2ZnCdCl6, optimized geometry; space group = R3 (146); theoretical density = 2.99 g/cm³; formation energy from raw total energies = -1.419 eV/atom
1.0
3.615 2.087 5.748
-3.615 2.087 5.748
0.000 -4.174 5.748
K Zn Cd Cl
2 1 1 6
Cartesian
0.000 0.000 0.000
0.000 0.000 8.523
0.000 0.000 4.268
0.000 0.000 12.890
-1.972 -0.602 5.673
-1.508 -2.767 8.612
1.507 -1.407 5.673
-1.642 2.690 8.612
0.465 2.009 5.673
3.150 0.077 8.612

=====

(2)
PBE LaCd3Cl, optimized geometry; space group = Pm-3m (221); energy relative to the lowest polymorph listed for this composition = 0.00 eV/f.u.; theoretical density = 5.29 g/cm³; formation energy from raw total energies = 0.129 eV/atom
1.0
5.435 0.000 0.000
0.000 5.435 0.000
0.000 0.000 5.435
La Cd Cl
1 3 1
Cartesian
0.000 0.000 0.000
0.000 2.717 2.717
2.717 0.000 2.717
2.717 2.717 0.000
2.717 2.717 2.717

=====

(3)
PBE LaCdCl4, optimized geometry; space group = F-43m (216); theoretical density = 4.38 g/cm³; formation energy from raw total energies = -0.633 eV/atom
1.0
0.000 4.207 4.207
4.207 0.000 4.207
4.207 4.207 0.000
La Cd Cl
1 1 4
Cartesian
0.000 0.000 0.000
6.310 6.310 6.310
3.152 3.152 3.152
5.262 5.262 3.152
5.262 3.152 5.262
3.152 5.262 5.262

=====

How do the records compare in E_tot? In the order shown, they have -29.651; -8.877; -17.029 eV per cell.